(a)
# BaNdEuWO6, optimized geometry, DFT PBE with a Hubbard U
data_BaNdEuWO6
_cell_length_a 6.0042
_cell_length_b 6.0657
_cell_length_c 8.5953
_cell_angle_alpha 90.32
_cell_angle_beta 90.25
_cell_angle_gamma 90.66
_symmetry_space_group_name_H-M 'P -1'
_symmetry_Int_Tables_number 2
loop_
_symmetry_equiv_pos_as_xyz
'x,y,z'
'-x,-y,-z'
loop_
_atom_site_label
_atom_site_type_symbol
_atom_site_fract_x
_atom_site_fract_y
_atom_site_fract_z
Ba1 Ba 0.0058 0.0311 0.2505
Nd1 Nd 0.0000 0.5000 0.5000
Nd2 Nd 0.5000 0.0000 0.0000
Eu1 Eu 0.4941 0.5383 0.2525
W1 W 0.0000 0.5000 0.0000
W2 W 0.5000 0.0000 0.5000
O1 O 0.0944 0.5048 0.7683
O2 O 0.1923 0.7613 0.0384
O3 O 0.2327 0.8100 0.4700
O4 O 0.2722 0.3089 0.0496
O5 O 0.3175 0.2799 0.4513
O6 O 0.4397 0.0444 0.7319
# **Total moment**: 16.00 Bohr magnetons per cell

---

(b)
# BaNdEuWO6, optimized geometry, DFT PBE with a Hubbard U
data_BaNdEuWO6
_cell_length_a 8.6192
_cell_length_b 8.6192
_cell_length_c 8.6192
_cell_angle_alpha 90.00
_cell_angle_beta 90.00
_cell_angle_gamma 90.00
_symmetry_space_group_name_H-M 'F -4 3 m'
_symmetry_Int_Tables_number 216
_symmetry_space_group_name_Hall 'F -4 2 3'
loop_
_atom_site_label
_atom_site_type_symbol
_atom_site_fract_x
_atom_site_fract_y
_atom_site_fract_z
Ba1 Ba 0.0000 0.0000 0.0000
Nd1 Nd 0.2500 0.2500 0.2500
Eu1 Eu 0.0000 0.0000 0.5000
W1 W 0.2500 0.2500 0.7500
O1 O 0.0186 0.2500 0.7500
# **Total moment**: 32.00 Bohr magnetons per cell

---

Out of the structures above, which one is the least stable? Solution: (b).